Li7Mn2Co3O12: relaxed, GGA+U.

abc: 5.0228 5.1075 8.8295
angles: 91.01 91.39 108.59
Site moments in Bohr magnetons follow the coordinates.
Positions (direct):
O 0.7491 0.7544 0.8473  0.13
O 0.2479 0.2213 0.1558  0.00
Li 0.5088 0.5120 0.3452  0.01
Mn 0.5005 0.0017 0.1710  3.15
Li 0.5164 0.5026 0.6484  0.01
O 0.7575 0.7855 0.1624  -0.01
O 0.2146 0.2110 0.8419  0.03
O 0.2425 0.7722 0.6743  0.24
O 0.2420 0.2578 0.4936  0.35
Li 0.4928 0.4959 0.9974  0.01
Li 0.9998 0.4999 0.1748  0.01
Li 0.9934 0.4957 0.8279  0.01
Co 0.9958 0.9999 0.6652  1.96
Co 0.0222 0.0170 0.3515  3.03
O 0.7809 0.7711 0.5048  0.10
O 0.7412 0.2368 0.3173  0.07
O 0.7540 0.2203 0.6744  0.13
O 0.2689 0.7787 0.3164  0.08
O 0.2441 0.7733 0.0059  0.01
Co 0.4909 0.9883 0.8193  3.05
Li 0.5124 0.0050 0.4960  0.00
Li 0.9984 0.5022 0.5063  0.01
O 0.7348 0.2076 0.0029  0.03
Mn 0.9912 0.9900 0.0000  3.19

Symmetry: P1
Total energy (eV/atom): -5.863